A relaxed Y2TeO crystal, computed with PBE.

Cell and atoms, written as POSCAR:
```
Y2TeO
1.0
0.000 3.504 3.504
3.504 0.000 3.504
3.504 3.504 0.000
Y Te O
2 1 1
Direct
0.250 0.250 0.250
0.750 0.750 0.750
0.000 0.000 0.000
0.500 0.500 0.500
```

Summary:
DOS at the Fermi energy ... 0.61 states/eV per atom
Formation energy (no corrections) ... -1171 meV per atom
Space group ... Fm-3m (225)